Material: Pm4YTe5
Method: DFT, GGA-PBE
State: optimized geometry

extended XYZ file:
```
10
Lattice="4.428 0.000 0.000 0.000 4.428 0.000 -2.214 -2.214 15.879" Properties=species:S:1:pos:R:3 pbc="T T T"
Pm 0.000 0.000 12.581
Pm 2.214 2.214 9.747
Pm 0.000 0.000 6.131
Pm 2.214 2.214 3.298
Y 0.000 0.000 0.000
Te 0.000 0.000 3.035
Te 2.214 2.214 0.000
Te 2.214 2.214 12.843
Te 0.000 0.000 9.398
Te 2.214 2.214 6.481
```

## Properties
E_form (uncorrected), eV/f.u.: -13.89



Material: Pm2Y4Te9
Method: DFT, GGA-PBE
State: optimized geometry

extended XYZ file:
```
30
Lattice="-5.700 -3.738 -3.725 -1.632 -7.377 1.802 -13.906 6.646 14.612" Properties=species:S:1:pos:R:3 pbc="T T T"
Pm -12.128 -8.821 3.119
Pm -9.486 -10.084 0.342
Pm -9.110 4.352 9.571
Pm -11.752 5.615 12.347
Y -16.222 2.879 13.837
Y -9.268 -0.443 6.531
Y -5.015 -7.349 -1.147
Y -4.900 -2.529 1.943
Y -11.970 -4.026 6.159
Y -9.381 -5.261 3.442
Y -11.857 0.791 9.248
Y -16.338 -1.940 10.747
Te -10.948 2.642 11.531
Te -13.354 -1.239 11.008
Te -14.322 2.432 8.416
Te -10.289 -7.111 1.159
Te -7.883 -3.231 1.682
Te -6.916 -6.901 4.274
Te -11.144 -6.925 5.405
Te -11.972 -3.561 3.087
Te -8.927 -3.437 5.931
Te -4.830 -1.975 -1.126
Te -4.150 -5.436 1.096
Te -1.825 -2.039 1.759
Te -10.094 2.455 7.285
Te -9.266 -0.908 9.603
Te -12.310 -1.033 6.759
Te -16.408 -2.495 13.815
Te -17.088 0.967 11.594
Te -19.413 -2.430 10.930
```

## Properties
E_form (uncorrected), eV/f.u.: -20.74



Material: PmY2Te
Method: DFT, GGA-PBE
State: optimized geometry

extended XYZ file:
```
4
Lattice="3.866 0.000 0.000 1.933 3.348 0.000 1.933 1.116 10.708" Properties=species:S:1:pos:R:3 pbc="T T T"
Y 1.933 1.116 7.399
Y 5.799 3.348 3.308
Te 3.866 2.232 5.354
Pm 0.000 0.000 0.000
```

## Properties
E_form (uncorrected), eV/f.u.: -1.07



Material: Pm3YTe6
Method: DFT, GGA-PBE
State: optimized geometry

extended XYZ file:
```
20
Lattice="-0.028 2.901 -6.833 -7.372 -3.427 -1.424 -5.083 9.225 4.116" Properties=species:S:1:pos:R:3 pbc="T T T"
Pm -10.298 5.481 -1.954
Pm -3.700 -0.263 -4.129
Pm -2.186 3.218 -2.188
Pm -5.831 0.306 -0.226
Pm -2.542 4.612 2.058
Pm -6.652 8.393 -3.915
Y -6.242 4.349 -2.071
Y 0.000 0.000 0.000
Te -5.966 9.806 -0.999
Te -4.273 6.645 -2.363
Te -4.605 2.744 -4.139
Te -7.878 5.954 -0.002
Te -8.211 2.054 -1.778
Te -6.518 -1.107 -3.142
Te -4.542 3.217 0.141
Te -2.786 0.086 -1.211
Te -4.230 7.255 1.896
Te -8.254 1.443 -6.037
Te -9.698 8.613 -2.930
Te -7.941 5.482 -4.282
```

## Properties
E_form (uncorrected), eV/f.u.: -13.90